Record 1
Computed, not measured: an optimized crystal structure of Tb4CeSm at the PBE level of DFT.

Properties
- ΔH_f (0 K): 269 meV/atom
- Total magnetic moment: 2.809 μB/cell
- V: 32.5 Å³/atom

Cell: 8.378 8.378 8.378 Å, 133.17 92.67 105.63°
Positions (direct):
Tb (0.171, 0.167, 0.004)
Tb (0.334, 0.337, 0.503)
Tb (0.334, 0.831, 0.997)
Tb (0.336, 0.833, 0.504)
Tb (0.664, 0.167, 0.496)
Tb (0.666, 0.169, 0.003)
Tb (0.666, 0.663, 0.497)
Tb (0.829, 0.833, 0.996)
Ce (0.000, 0.500, 0.500)
Ce (0.500, 0.500, 0.000)
Sm (0.000, 0.000, 0.500)
Sm (0.000, 0.500, 0.000)

=====

Record 2
Computed, not measured: an optimized crystal structure of Tb4CeSm8 at the PBE level of DFT.

Properties
- ΔH_f (0 K): 149 meV/atom
- Total magnetic moment: 0.003 μB/cell
- V: 33.0 Å³/atom

Cell: 10.038 10.038 10.038 Å, 43.15 43.15 43.15°
Positions (direct):
Tb (0.000, 0.000, 0.000)
Tb (0.000, 0.500, 0.500)
Tb (0.500, 0.000, 0.500)
Tb (0.500, 0.500, 0.000)
Ce (0.500, 0.500, 0.500)
Sm (0.201, 0.744, 0.744)
Sm (0.221, 0.221, 0.221)
Sm (0.256, 0.256, 0.799)
Sm (0.256, 0.799, 0.256)
Sm (0.744, 0.201, 0.744)
Sm (0.744, 0.744, 0.201)
Sm (0.779, 0.779, 0.779)
Sm (0.799, 0.256, 0.256)

=====

Record 3
Computed, not measured: an optimized crystal structure of TbCe2Sm at the PBE level of DFT.

Properties
- ΔH_f (0 K): 104 meV/atom
- Total magnetic moment: 3.758 μB/cell
- V: 30.9 Å³/atom

Cell: 3.506 3.506 34.824 Å, 90.00 90.00 120.00°
Positions (direct):
Tb (0.000, 0.000, 0.000)
Tb (0.333, 0.667, 0.667)
Tb (0.667, 0.333, 0.333)
Ce (0.000, 0.000, 0.417)
Ce (0.000, 0.000, 0.585)
Ce (0.333, 0.667, 0.084)
Ce (0.333, 0.667, 0.252)
Ce (0.667, 0.333, 0.751)
Ce (0.667, 0.333, 0.918)
Sm (0.000, 0.000, 0.169)
Sm (0.333, 0.667, 0.836)
Sm (0.667, 0.333, 0.503)

=====

Record 4
Computed, not measured: an optimized crystal structure of Tb12CeSm7 at the PBE level of DFT.

Properties
- ΔH_f (0 K): 240 meV/atom
- Total magnetic moment: 0.003 μB/cell
- V: 33.2 Å³/atom

Cell: 8.721 8.721 8.721 Å, 90.86 90.86 90.86°
Positions (direct):
Tb (0.124, 0.362, 0.449)
Tb (0.221, 0.761, 0.367)
Tb (0.239, 0.633, 0.779)
Tb (0.362, 0.449, 0.124)
Tb (0.367, 0.221, 0.761)
Tb (0.449, 0.124, 0.362)
Tb (0.551, 0.876, 0.638)
Tb (0.633, 0.779, 0.239)
Tb (0.638, 0.551, 0.876)
Tb (0.761, 0.367, 0.221)
Tb (0.779, 0.239, 0.633)
Tb (0.876, 0.638, 0.551)
Ce (0.000, 0.000, 0.000)
Sm (0.038, 0.329, 0.942)
Sm (0.058, 0.962, 0.671)
Sm (0.329, 0.942, 0.038)
Sm (0.500, 0.500, 0.500)
Sm (0.671, 0.058, 0.962)
Sm (0.942, 0.038, 0.329)
Sm (0.962, 0.671, 0.058)

=====

Record 5
Computed, not measured: an optimized crystal structure of Tb9Ce4Sm11 at the PBE level of DFT.

Properties
- ΔH_f (0 K): 99 meV/atom
- Total magnetic moment: 3.998 μB/cell
- V: 32.8 Å³/atom

Cell: 15.226 15.226 3.668 Å, 90.00 90.00 112.32°
Positions (direct):
Tb (0.000, 0.000, 0.000)
Tb (0.135, 0.661, 0.000)
Tb (0.286, 0.431, 0.000)
Tb (0.339, 0.865, 0.000)
Tb (0.431, 0.286, 0.000)
Tb (0.569, 0.714, 0.000)
Tb (0.661, 0.135, 0.000)
Tb (0.714, 0.569, 0.000)
Tb (0.865, 0.339, 0.000)
Ce (0.052, 0.252, 0.000)
Ce (0.252, 0.052, 0.000)
Ce (0.748, 0.948, 0.000)
Ce (0.948, 0.748, 0.000)
Sm (0.090, 0.450, 0.500)
Sm (0.135, 0.865, 0.500)
Sm (0.208, 0.208, 0.500)
Sm (0.343, 0.657, 0.500)
Sm (0.450, 0.090, 0.500)
Sm (0.500, 0.500, 0.500)
Sm (0.550, 0.910, 0.500)
Sm (0.657, 0.343, 0.500)
Sm (0.792, 0.792, 0.500)
Sm (0.865, 0.135, 0.500)
Sm (0.910, 0.550, 0.500)

=====

Record 6
Computed, not measured: an optimized crystal structure of TbCeSm2 at the PBE level of DFT.

Properties
- ΔH_f (0 K): 74 meV/atom
- Total magnetic moment: 0.626 μB/cell
- V: 32.4 Å³/atom

Cell: 5.060 5.060 5.066 Å, 90.00 90.00 90.00°
Positions (direct):
Tb (0.000, 0.000, 0.000)
Ce (0.500, 0.500, 0.000)
Sm (0.000, 0.500, 0.500)
Sm (0.500, 0.000, 0.500)

=====

Record 7
Computed, not measured: an optimized crystal structure of Tb7Ce2Sm2 at the PBE level of DFT.

Properties
- ΔH_f (0 K): 200 meV/atom
- Total magnetic moment: 2.170 μB/cell
- V: 32.7 Å³/atom

Cell: 8.055 8.055 6.017 Å, 105.49 105.49 92.31°
Positions (direct):
Tb (0.000, 0.000, 0.000)
Tb (0.066, 0.590, 0.827)
Tb (0.409, 0.409, 0.195)
Tb (0.410, 0.934, 0.173)
Tb (0.590, 0.066, 0.827)
Tb (0.591, 0.591, 0.805)
Tb (0.934, 0.410, 0.173)
Ce (0.216, 0.784, 0.500)
Ce (0.784, 0.216, 0.500)
Sm (0.229, 0.229, 0.588)
Sm (0.771, 0.771, 0.412)

=====

Record 8
Computed, not measured: an optimized crystal structure of Tb2CeSm at the PBE level of DFT.

Properties
- ΔH_f (0 K): 185 meV/atom
- Total magnetic moment: 5.148 μB/cell
- V: 32.6 Å³/atom

Cell: 8.049 8.049 8.049 Å, 90.00 90.00 90.00°
Positions (direct):
Tb (0.250, 0.250, 0.250)
Tb (0.250, 0.250, 0.750)
Tb (0.250, 0.750, 0.250)
Tb (0.250, 0.750, 0.750)
Tb (0.750, 0.250, 0.250)
Tb (0.750, 0.250, 0.750)
Tb (0.750, 0.750, 0.250)
Tb (0.750, 0.750, 0.750)
Ce (0.000, 0.000, 0.000)
Ce (0.000, 0.500, 0.500)
Ce (0.500, 0.000, 0.500)
Ce (0.500, 0.500, 0.000)
Sm (0.000, 0.000, 0.500)
Sm (0.000, 0.500, 0.000)
Sm (0.500, 0.000, 0.000)
Sm (0.500, 0.500, 0.500)